# Zr3PbO4F6

An optimized crystal structure of Zr3PbO4F6 (GGA-PBE, Alexandria via LeMat-Bulk).

a b c (Å): 7.8407 7.8407 7.8407
angles (deg): 60.00 60.00 60.00
Closest atoms and distances in Å follow each position.
Fractional positions:
Zr 0.2229 0.2229 0.7771  4 O 2.17, 4 F 2.21
Zr 0.2229 0.7771 0.2229  4 O 2.17, 4 F 2.21
Zr 0.2229 0.7771 0.7771  4 O 2.17, 4 F 2.21
Zr 0.7771 0.2229 0.2229  4 O 2.17, 4 F 2.21
Zr 0.7771 0.2229 0.7771  4 O 2.17, 4 F 2.21
Zr 0.7771 0.7771 0.2229  4 O 2.17, 4 F 2.21
Pb 0.2500 0.2500 0.2500  4 O 2.58
Pb 0.7500 0.7500 0.7500  4 O 2.58
O 0.1157 0.1157 0.1157  3 Zr 2.17
O 0.1157 0.1157 0.6528  3 Zr 2.17
O 0.1157 0.6528 0.1157  3 Zr 2.17
O 0.3472 0.8843 0.8843  3 Zr 2.17
O 0.6528 0.1157 0.1157  3 Zr 2.17
O 0.8843 0.3472 0.8843  3 Zr 2.17
O 0.8843 0.8843 0.3472  3 Zr 2.17
O 0.8843 0.8843 0.8843  3 Zr 2.17
F 0.1720 0.5000 0.5000  2 Zr 2.21
F 0.1720 0.5000 0.8280  2 Zr 2.21
F 0.1720 0.8280 0.5000  2 Zr 2.21
F 0.5000 0.1720 0.5000  2 Zr 2.21
F 0.5000 0.1720 0.8280  2 Zr 2.21
F 0.5000 0.5000 0.1720  2 Zr 2.21
F 0.5000 0.5000 0.8280  2 Zr 2.21
F 0.5000 0.8280 0.1720  2 Zr 2.21
F 0.5000 0.8280 0.5000  2 Zr 2.21
F 0.8280 0.1720 0.5000  2 Zr 2.21
F 0.8280 0.5000 0.1720  2 Zr 2.21
F 0.8280 0.5000 0.5000  2 Zr 2.21

Output
DFT total energy = -106.39 eV per formula unit
theoretical density = 6420 kg/m3
space group = Fm-3m, No. 225
energy relative to the elements, uncorrected = -3.2842 eV per atom

=====

# ZrPbO2F

An optimized crystal structure of ZrPbO2F (GGA-PBE, Alexandria via LeMat-Bulk).

a b c (Å): 4.2095 4.2095 4.4262
angles (deg): 90.00 90.00 90.00
Closest atoms and distances in Å follow each position.
Fractional positions:
Zr 0.0000 0.0000 0.0000  4 O 2.10, 2 F 2.21
Pb 0.5000 0.5000 0.5000  4 F 2.98, 8 O 3.05
O 0.0000 0.5000 0.0000  2 Zr 2.10
O 0.5000 0.0000 0.0000  2 Zr 2.10
F 0.0000 0.0000 0.5000  2 Zr 2.21

Output
DFT total energy = -35.47 eV per formula unit
theoretical density = 7398 kg/m3
space group = P4/mmm, No. 123
energy relative to the elements, uncorrected = -2.2857 eV per atom

=====

# Zr6PbO2F22

An optimized crystal structure of Zr6PbO2F22 (GGA-PBE, Alexandria via LeMat-Bulk).

a b c (Å): 7.6303 7.6303 15.2737
angles (deg): 90.00 90.00 120.00
Closest atoms and distances in Å follow each position.
Fractional positions:
Zr 0.1725 0.3451 0.0000  7 F 2.12-2.29, 1 O 2.14
Zr 0.1725 0.8275 0.0000  7 F 2.12-2.29, 1 O 2.14
Zr 0.1792 0.3584 0.2772  1 O 2.07, 7 F 2.11-2.24
Zr 0.1792 0.8208 0.2772  1 O 2.07, 7 F 2.11-2.24
Zr 0.3451 0.1725 0.5000  7 F 2.12-2.29, 1 O 2.14
Zr 0.3584 0.1792 0.7772  1 O 2.07, 7 F 2.11-2.24
Zr 0.6416 0.8208 0.2772  1 O 2.07, 7 F 2.11-2.24
Zr 0.6549 0.8275 0.0000  7 F 2.12-2.29, 1 O 2.14
Zr 0.8208 0.1792 0.7772  1 O 2.07, 7 F 2.11-2.24
Zr 0.8208 0.6416 0.7772  1 O 2.07, 7 F 2.11-2.24
Zr 0.8275 0.1725 0.5000  7 F 2.12-2.29, 1 O 2.14
Zr 0.8275 0.6549 0.5000  7 F 2.12-2.29, 1 O 2.14
Pb 0.3333 0.6667 0.6271  6 F 2.52-2.74
Pb 0.6667 0.3333 0.1271  6 F 2.52-2.74
O 0.3333 0.6667 0.3028  3 Zr 2.07
O 0.3333 0.6667 0.9810  3 Zr 2.14
O 0.6667 0.3333 0.4810  3 Zr 2.14
O 0.6667 0.3333 0.8028  3 Zr 2.07
F 0.0000 0.0000 0.4338  9 F 2.44-2.61, 3 Zr 2.49
F 0.0000 0.0000 0.9338  9 F 2.44-2.61, 3 Zr 2.49
F 0.0021 0.3307 0.3892  2 Zr 2.12
F 0.0021 0.6715 0.3892  2 Zr 2.12
F 0.0118 0.5059 0.7402  2 Zr 2.24, 1 O 2.47
F 0.0149 0.5074 0.5362  2 Zr 2.29, 1 O 2.45, 2 F 2.51, 1 Pb 2.52
F 0.1133 0.2266 0.7449  2 Zr 2.13
F 0.1133 0.8867 0.7449  2 Zr 2.13
F 0.1247 0.2495 0.5517  2 Zr 2.19, 1 F 2.44
F 0.1247 0.8753 0.5517  2 Zr 2.19, 1 F 2.44
F 0.1948 0.3897 0.1397  2 Zr 2.11-2.15
F 0.1948 0.8052 0.1397  2 Zr 2.11-2.15
F 0.2266 0.1133 0.2449  2 Zr 2.13
F 0.2495 0.1247 0.0517  2 Zr 2.19, 1 F 2.44
F 0.3285 0.3307 0.3892  2 Zr 2.12
F 0.3285 0.9979 0.3892  2 Zr 2.12
F 0.3307 0.0021 0.8892  2 Zr 2.12
F 0.3307 0.3285 0.8892  2 Zr 2.12
F 0.3897 0.1948 0.6397  2 Zr 2.11-2.15
F 0.4926 0.5074 0.5362  2 Zr 2.29, 1 O 2.45, 2 F 2.51, 1 Pb 2.52
F 0.4926 0.9851 0.5362  2 Zr 2.29, 1 O 2.45, 2 F 2.51, 1 Pb 2.52
F 0.4941 0.5059 0.7402  2 Zr 2.24, 1 O 2.47
F 0.4941 0.9882 0.7402  2 Zr 2.24, 1 O 2.47
F 0.5059 0.0118 0.2402  2 Zr 2.24, 1 O 2.47
F 0.5059 0.4941 0.2402  2 Zr 2.24, 1 O 2.47
F 0.5074 0.0149 0.0362  2 Zr 2.29, 1 O 2.45, 2 F 2.51, 1 Pb 2.52
F 0.5074 0.4926 0.0362  2 Zr 2.29, 1 O 2.45, 2 F 2.51, 1 Pb 2.52
F 0.6103 0.8052 0.1397  2 Zr 2.11-2.15
F 0.6693 0.6715 0.3892  2 Zr 2.12
F 0.6693 0.9979 0.3892  2 Zr 2.12
F 0.6715 0.0021 0.8892  2 Zr 2.12
F 0.6715 0.6693 0.8892  2 Zr 2.12
F 0.7505 0.8753 0.5517  2 Zr 2.19, 1 F 2.44
F 0.7734 0.8867 0.7449  2 Zr 2.13
F 0.8052 0.1948 0.6397  2 Zr 2.11-2.15
F 0.8052 0.6103 0.6397  2 Zr 2.11-2.15
F 0.8753 0.1247 0.0517  2 Zr 2.19, 1 F 2.44
F 0.8753 0.7505 0.0517  2 Zr 2.19, 1 F 2.44
F 0.8867 0.1133 0.2449  2 Zr 2.13
F 0.8867 0.7734 0.2449  2 Zr 2.13
F 0.9851 0.4926 0.0362  2 Zr 2.29, 1 O 2.45, 2 F 2.51, 1 Pb 2.52
F 0.9882 0.4941 0.2402  2 Zr 2.24, 1 O 2.47
F 0.9979 0.3285 0.8892  2 Zr 2.12
F 0.9979 0.6693 0.8892  2 Zr 2.12

Output
DFT total energy = -215.18 eV per formula unit
theoretical density = 5194 kg/m3
space group = P6_3mc, No. 186
energy relative to the elements, uncorrected = -3.5194 eV per atom

=====

# PdOF

An optimized crystal structure of PdOF (GGA-PBE, Alexandria via LeMat-Bulk).

a b c (Å): 5.8283 5.8283 5.8283
angles (deg): 53.69 53.69 53.69
Closest atoms and distances in Å follow each position.
Fractional positions:
Pd 0.0000 0.0000 0.0000  3 O 2.05
Pd 0.2047 0.2047 0.2047  3 O 2.00, 3 F 2.17
Pd 0.5296 0.5296 0.5296  3 O 2.03, 3 F 2.18
O 0.2835 0.5949 0.9312  3 Pd 2.00-2.05
O 0.5949 0.9312 0.2835  3 Pd 2.00-2.05
O 0.9312 0.2835 0.5949  3 Pd 2.00-2.05
F 0.1270 0.7908 0.4097  3 Pd 2.17-2.30
F 0.4097 0.1270 0.7908  3 Pd 2.17-2.30
F 0.7908 0.4097 0.1270  3 Pd 2.17-2.30

Output
DFT total energy = -14.01 eV per formula unit
theoretical density = 5903 kg/m3
space group = R3, No. 146
energy relative to the elements, uncorrected = -0.6631 eV per atom

=====

# PdOF2

An optimized crystal structure of PdOF2 (GGA-PBE, Alexandria via LeMat-Bulk).

a b c (Å): 3.8925 3.8925 3.8925
angles (deg): 60.00 60.00 60.00
Closest atoms and distances in Å follow each position.
Fractional positions:
Pd 0.0000 0.0000 0.0000  8 F 2.38
O 0.5000 0.5000 0.5000  8 F 2.38
F 0.2500 0.2500 0.2500  4 O 2.38, 4 Pd 2.38
F 0.7500 0.7500 0.7500  4 O 2.38, 4 Pd 2.38

Output
energy above the most stable polymorph in this dataset = 1097 meV/atom
DFT total energy = -12.62 eV per formula unit
theoretical density = 6388 kg/m3
space group = Fm-3m, No. 225
energy relative to the elements, uncorrected = 0.3190 eV per atom

=====

# PdOF2

An optimized crystal structure of PdOF2 (GGA-PBE, Alexandria via LeMat-Bulk).

a b c (Å): 3.1842 5.8649 8.0679
angles (deg): 90.24 97.12 90.00
Closest atoms and distances in Å follow each position.
Fractional positions:
Pd 0.9999 0.2497 0.9999  4 F 2.04-2.05
Pd 0.0001 0.7503 0.0001  4 F 2.04-2.05
O 0.0027 0.3946 0.4997  1 O 1.24
O 0.9973 0.6054 0.5003  1 O 1.24
F 0.4502 0.2494 0.8393  2 Pd 2.04-2.05
F 0.4506 0.7496 0.8396  2 Pd 2.04-2.05
F 0.5494 0.2504 0.1604  2 Pd 2.04-2.05
F 0.5498 0.7506 0.1607  2 Pd 2.04-2.05

Output
energy above the most stable polymorph in this dataset = 0 meV/atom
DFT total energy = -17.00 eV per formula unit
theoretical density = 3563 kg/m3
space group = P-1, No. 2
energy relative to the elements, uncorrected = -0.7776 eV per atom

=====

# PdOF2

An optimized crystal structure of PdOF2 (GGA-PBE, Alexandria via LeMat-Bulk).

a b c (Å): 8.1499 8.1499 8.1499
angles (deg): 19.48 19.48 19.48
Closest atoms and distances in Å follow each position.
Fractional positions:
Pd 0.0000 0.0000 0.0000  2 F 1.90
O 0.5000 0.5000 0.5000  6 F 2.63, 6 O 2.76
F 0.0793 0.0793 0.0793  1 Pd 1.90
F 0.9207 0.9207 0.9207  1 Pd 1.90

Output
energy above the most stable polymorph in this dataset = 1095 meV/atom
DFT total energy = -12.62 eV per formula unit
theoretical density = 5062 kg/m3
space group = R-3m, No. 166
energy relative to the elements, uncorrected = 0.3173 eV per atom

=====

# Pd2OF

An optimized crystal structure of Pd2OF (GGA-PBE, Alexandria via LeMat-Bulk).

a b c (Å): 6.9105 6.9105 6.9105
angles (deg): 141.91 141.91 54.96
Closest atoms and distances in Å follow each position.
Fractional positions:
Pd 0.0350 0.6250 0.9100  2 O 2.03
Pd 0.3750 0.2850 0.4100  2 O 2.03
Pd 0.7150 0.1250 0.0900  2 O 2.03
Pd 0.8750 0.9650 0.5900  2 O 2.03
O 0.0000 0.0000 0.0000  4 Pd 2.03
O 0.7500 0.2500 0.5000  4 Pd 2.03
F 0.2500 0.7500 0.5000  4 Pd 2.44
F 0.5000 0.5000 0.0000  4 Pd 2.44

Output
energy above the most stable polymorph in this dataset = 0 meV/atom
DFT total energy = -18.24 eV per formula unit
theoretical density = 6602 kg/m3
space group = I-42d, No. 122
energy relative to the elements, uncorrected = -0.2550 eV per atom

=====

> Which value of theoretical density does entry 6 give?

3563 kg/m3

=====

Copy entry 5 word for word.
# PdOF2

An optimized crystal structure of PdOF2 (GGA-PBE, Alexandria via LeMat-Bulk).

a b c (Å): 3.8925 3.8925 3.8925
angles (deg): 60.00 60.00 60.00
Closest atoms and distances in Å follow each position.
Fractional positions:
Pd 0.0000 0.0000 0.0000  8 F 2.38
O 0.5000 0.5000 0.5000  8 F 2.38
F 0.2500 0.2500 0.2500  4 O 2.38, 4 Pd 2.38
F 0.7500 0.7500 0.7500  4 O 2.38, 4 Pd 2.38

Output
energy above the most stable polymorph in this dataset = 1097 meV/atom
DFT total energy = -12.62 eV per formula unit
theoretical density = 6388 kg/m3
space group = Fm-3m, No. 225
energy relative to the elements, uncorrected = 0.3190 eV per atom

=====

Copy entry 1 word for word.
# Zr3PbO4F6

An optimized crystal structure of Zr3PbO4F6 (GGA-PBE, Alexandria via LeMat-Bulk).

a b c (Å): 7.8407 7.8407 7.8407
angles (deg): 60.00 60.00 60.00
Closest atoms and distances in Å follow each position.
Fractional positions:
Zr 0.2229 0.2229 0.7771  4 O 2.17, 4 F 2.21
Zr 0.2229 0.7771 0.2229  4 O 2.17, 4 F 2.21
Zr 0.2229 0.7771 0.7771  4 O 2.17, 4 F 2.21
Zr 0.7771 0.2229 0.2229  4 O 2.17, 4 F 2.21
Zr 0.7771 0.2229 0.7771  4 O 2.17, 4 F 2.21
Zr 0.7771 0.7771 0.2229  4 O 2.17, 4 F 2.21
Pb 0.2500 0.2500 0.2500  4 O 2.58
Pb 0.7500 0.7500 0.7500  4 O 2.58
O 0.1157 0.1157 0.1157  3 Zr 2.17
O 0.1157 0.1157 0.6528  3 Zr 2.17
O 0.1157 0.6528 0.1157  3 Zr 2.17
O 0.3472 0.8843 0.8843  3 Zr 2.17
O 0.6528 0.1157 0.1157  3 Zr 2.17
O 0.8843 0.3472 0.8843  3 Zr 2.17
O 0.8843 0.8843 0.3472  3 Zr 2.17
O 0.8843 0.8843 0.8843  3 Zr 2.17
F 0.1720 0.5000 0.5000  2 Zr 2.21
F 0.1720 0.5000 0.8280  2 Zr 2.21
F 0.1720 0.8280 0.5000  2 Zr 2.21
F 0.5000 0.1720 0.5000  2 Zr 2.21
F 0.5000 0.1720 0.8280  2 Zr 2.21
F 0.5000 0.5000 0.1720  2 Zr 2.21
F 0.5000 0.5000 0.8280  2 Zr 2.21
F 0.5000 0.8280 0.1720  2 Zr 2.21
F 0.5000 0.8280 0.5000  2 Zr 2.21
F 0.8280 0.1720 0.5000  2 Zr 2.21
F 0.8280 0.5000 0.1720  2 Zr 2.21
F 0.8280 0.5000 0.5000  2 Zr 2.21

Output
DFT total energy = -106.39 eV per formula unit
theoretical density = 6420 kg/m3
space group = Fm-3m, No. 225
energy relative to the elements, uncorrected = -3.2842 eV per atom

=====

> Number 4 is which compound?

PdOF